# LiTl2Pb

A relaxed LiTl2Pb crystal (PBE, Alexandria via LeMat-Bulk).

Values from the calculation:
ΔE to the lowest computed polymorph: 0.009 eV per atom
Space-group type: Cm, No. 8
E: -2.67 eV/atom
Formation enthalpy at 0 K: -0.0847 eV/atom
Size of the total moment: 0.00 μB/cell
N(E_F): 1.826 states/eV/cell

Cell and atoms, written as extended XYZ:
```
4
Lattice="-4.691 3.079 -2.545 -5.951 -0.145 -1.591 -3.578 2.492 3.696" Properties=species:S:1:pos:R:3 pbc="T T T"
Tl -10.730 3.005 -4.011
Tl -3.189 1.213 -0.112
Pb -10.633 3.946 -0.705
Li -7.420 2.908 0.029
```

# LiTl2Pb

A relaxed LiTl2Pb crystal (PBE, Alexandria via LeMat-Bulk).

Values from the calculation:
ΔE to the lowest computed polymorph: 0.033 eV per atom
Space-group type: C2/m, No. 12
E: -2.65 eV/atom
Formation enthalpy at 0 K: -0.0606 eV/atom
Size of the total moment: 0.00 μB/cell
N(E_F): 1.487 states/eV/cell

Cell and atoms, written as extended XYZ:
```
4
Lattice="5.974 -0.086 -0.276 -2.754 5.933 0.030 0.466 0.981 3.148" Properties=species:S:1:pos:R:3 pbc="T T T"
Li -1.144 3.457 1.589
Pb 1.610 2.923 -0.123
Tl 3.220 0.447 1.436
Tl 0.000 0.000 0.000
```

# LiTl2Pb

A relaxed LiTl2Pb crystal (PBE, Alexandria via LeMat-Bulk).

Values from the calculation:
ΔE to the lowest computed polymorph: 0.023 eV per atom
Space-group type: P2/m, No. 10
E: -2.66 eV/atom
Formation enthalpy at 0 K: -0.0706 eV/atom
Size of the total moment: 0.00 μB/cell
N(E_F): 1.549 states/eV/cell

Cell and atoms, written as extended XYZ:
```
4
Lattice="3.542 0.000 0.022 0.000 4.983 0.000 -1.706 0.000 6.217" Properties=species:S:1:pos:R:3 pbc="T T T"
Li 1.771 2.491 0.011
Tl -0.954 0.000 4.768
Tl 2.790 0.000 1.471
Pb 0.918 2.491 3.119
```

# LiTl3Pb

A relaxed LiTl3Pb crystal (PBE, Alexandria via LeMat-Bulk).

Values from the calculation:
ΔE to the lowest computed polymorph: 0.392 eV per atom
Space-group type: Pm-3m, No. 221
E: -2.18 eV/atom
Formation enthalpy at 0 K: 0.3688 eV/atom
Size of the total moment: 0.00 μB/cell
N(E_F): 2.750 states/eV/cell

Cell and atoms, written as extended XYZ:
```
5
Lattice="-5.347 -2.070 1.975 2.374 -0.875 5.511 -1.596 5.632 1.582" Properties=species:S:1:pos:R:3 pbc="T T T"
Tl 1.187 -0.437 2.755
Tl -2.673 -1.035 0.988
Tl -0.798 2.816 0.791
Pb 0.000 0.000 0.000
Li -2.284 1.344 4.534
```

# Li2TlPb5

A relaxed Li2TlPb5 crystal (PBE, Alexandria via LeMat-Bulk).

Values from the calculation:
Space-group type: P1, No. 1
E: -3.21 eV/atom
Formation enthalpy at 0 K: -0.1169 eV/atom
Size of the total moment: 0.00 μB/cell
N(E_F): 3.038 states/eV/cell

Cell and atoms, written as extended XYZ:
```
8
Lattice="-6.069 2.890 -1.255 2.018 1.764 -6.288 0.424 -6.547 2.132" Properties=species:S:1:pos:R:3 pbc="T T T"
Pb -0.912 -1.980 -1.029
Pb -0.119 2.174 -5.241
Pb -1.125 1.293 -2.096
Pb -3.734 -3.809 -0.590
Pb -2.940 0.346 -4.802
Li -3.947 -0.535 -1.662
Li 0.095 -1.100 -4.171
Tl -2.728 -2.927 -3.734
```

# LiTlPb2

A relaxed LiTlPb2 crystal (PBE, Alexandria via LeMat-Bulk).

Values from the calculation:
Space-group type: P4mm, No. 99
E: -3.03 eV/atom
Formation enthalpy at 0 K: -0.1086 eV/atom
Size of the total moment: 0.00 μB/cell
N(E_F): 0.465 states/eV/cell

Cell and atoms, written as extended XYZ:
```
4
Lattice="3.477 -0.011 0.000 0.011 3.477 0.000 0.000 0.000 8.829" Properties=species:S:1:pos:R:3 pbc="T T T"
Tl 0.000 0.000 4.722
Pb 1.744 1.733 2.207
Pb 0.000 0.000 8.535
Li 1.744 1.733 6.610
```

# Li3Tl3Pb

A relaxed Li3Tl3Pb crystal (PBE, Alexandria via LeMat-Bulk).

Values from the calculation:
ΔE to the lowest computed polymorph: 0.000 eV per atom
Space-group type: P2_13, No. 198
E: -2.52 eV/atom
Formation enthalpy at 0 K: -0.1544 eV/atom
Size of the total moment: 0.00 μB/cell
N(E_F): 7.530 states/eV/cell

Cell and atoms, written as extended XYZ:
```
28
Lattice="-4.973 -6.834 -2.162 1.884 -3.785 7.632 -6.916 3.884 3.633" Properties=species:S:1:pos:R:3 pbc="T T T"
Tl -6.335 -4.264 5.763
Tl -3.249 0.094 5.305
Tl -4.800 -2.459 8.013
Tl -7.569 0.356 3.372
Tl -4.829 -6.946 4.661
Tl -1.566 -2.766 7.661
Tl -9.473 -6.377 8.619
Tl -5.741 -2.247 0.834
Tl -8.450 -2.765 3.775
Tl -1.932 -1.301 1.758
Tl -4.541 -6.796 1.410
Tl -1.548 -4.940 3.450
Pb -8.436 -4.302 0.799
Pb -4.150 -2.794 3.776
Pb -5.648 0.756 7.606
Pb -1.776 -7.131 6.026
Li -6.637 -5.065 8.583
Li -5.915 -5.054 -0.529
Li -9.094 -3.913 6.735
Li -3.281 -4.505 6.013
Li -6.139 -4.700 2.728
Li -6.080 -1.228 5.361
Li -7.753 -6.831 6.050
Li -0.012 -4.773 6.166
Li -5.694 2.005 4.936
Li -1.379 -2.124 4.792
Li -3.283 -4.139 1.208
Li -4.766 -0.083 2.578
```

# LiTlPb

A relaxed LiTlPb crystal (PBE, Alexandria via LeMat-Bulk).

Values from the calculation:
Space-group type: Pmma, No. 51
E: -2.73 eV/atom
Formation enthalpy at 0 K: -0.0647 eV/atom
Size of the total moment: 0.00 μB/cell
N(E_F): 2.573 states/eV/cell

Cell and atoms, written as extended XYZ:
```
6
Lattice="-0.574 3.117 0.934 -0.905 -2.058 6.310 6.999 0.901 1.298" Properties=species:S:1:pos:R:3 pbc="T T T"
Li 0.785 0.242 5.518
Li 4.735 1.718 3.023
Tl 3.047 -0.578 3.804
Tl -0.453 -1.029 3.155
Pb 0.000 0.000 0.000
Pb 3.500 0.450 0.649
```

# Li6Tl2Pb

A relaxed Li6Tl2Pb crystal (PBE, Alexandria via LeMat-Bulk).

Values from the calculation:
ΔE to the lowest computed polymorph: 0.000 eV per atom
Space-group type: P6/mmm, No. 191
E: -2.43 eV/atom
Formation enthalpy at 0 K: -0.2125 eV/atom
Size of the total moment: 0.00 μB/cell
N(E_F): 3.695 states/eV/cell

Cell and atoms, written as extended XYZ:
```
9
Lattice="-1.934 1.657 1.711 -4.836 1.056 -6.489 -1.127 -6.406 4.929" Properties=species:S:1:pos:R:3 pbc="T T T"
Li -1.717 -3.436 4.137
Li -2.961 -0.961 0.334
Li -6.179 -0.258 -3.985
Li -5.312 -4.875 1.465
Li -2.584 1.181 -1.314
Li -4.936 -2.733 -0.183
Tl -5.534 0.225 -0.972
Tl -2.363 -3.919 1.123
Pb -1.127 -6.406 4.929
```

# LiTlPb

A relaxed LiTlPb crystal (PBE, Alexandria via LeMat-Bulk).

Values from the calculation:
Space-group type: P-1, No. 2
E: -2.80 eV/atom
Formation enthalpy at 0 K: -0.1382 eV/atom
Size of the total moment: 0.00 μB/cell
N(E_F): 1.889 states/eV/cell

Cell and atoms, written as extended XYZ:
```
6
Lattice="6.093 0.039 -0.096 -2.518 7.690 -0.083 -1.113 -1.274 3.381" Properties=species:S:1:pos:R:3 pbc="T T T"
Pb -0.907 3.357 3.057
Pb 3.369 3.098 0.146
Li 1.920 4.784 2.406
Li 0.542 1.671 0.797
Tl -1.549 6.429 1.883
Tl 4.011 0.027 1.319
```

# Li4TlPb3

A relaxed Li4TlPb3 crystal (PBE, Alexandria via LeMat-Bulk).

Values from the calculation:
Space-group type: P4/mmm, No. 123
E: -2.90 eV/atom
Formation enthalpy at 0 K: -0.2539 eV/atom
Size of the total moment: 0.00 μB/cell
N(E_F): 3.127 states/eV/cell

Cell and atoms, written as extended XYZ:
```
8
Lattice="3.556 0.000 0.000 0.000 3.556 0.000 0.000 0.000 14.044" Properties=species:S:1:pos:R:3 pbc="T T T"
Li 0.000 0.000 12.301
Li 0.000 0.000 1.744
Li 0.000 0.000 8.780
Li 0.000 0.000 5.264
Pb 1.778 1.778 3.492
Pb 1.778 1.778 7.022
Pb 1.778 1.778 10.553
Tl 1.778 1.778 0.000
```

# LiTlPb

A relaxed LiTlPb crystal (PBE, Alexandria via LeMat-Bulk).

Values from the calculation:
Space-group type: Cmcm, No. 63
E: -2.75 eV/atom
Formation enthalpy at 0 K: -0.0913 eV/atom
Size of the total moment: 0.00 μB/cell
N(E_F): 4.991 states/eV/cell

Cell and atoms, written as extended XYZ:
```
12
Lattice="8.710 0.000 0.000 0.000 6.478 0.000 0.000 0.000 5.551" Properties=species:S:1:pos:R:3 pbc="T T T"
Pb 7.422 1.620 2.776
Pb 1.287 4.859 2.775
Pb 3.067 1.620 5.551
Pb 5.642 4.859 0.001
Tl 0.000 0.000 0.000
Tl 4.355 3.239 2.776
Tl 0.000 3.239 0.000
Tl 4.355 0.000 2.776
Li 2.664 4.859 5.548
Li 1.691 1.620 2.772
Li 7.018 4.859 2.779
Li 6.046 1.620 0.004
```

# LiTl2Pb

A relaxed LiTl2Pb crystal (PBE, Alexandria via LeMat-Bulk).

Values from the calculation:
ΔE to the lowest computed polymorph: 0.028 eV per atom
Space-group type: Cmmm, No. 65
E: -2.65 eV/atom
Formation enthalpy at 0 K: -0.0657 eV/atom
Size of the total moment: 0.00 μB/cell
N(E_F): 1.686 states/eV/cell

Cell and atoms, written as extended XYZ:
```
4
Lattice="5.742 -0.006 0.000 -1.908 5.416 0.000 0.000 0.000 3.548" Properties=species:S:1:pos:R:3 pbc="T T T"
Tl 1.917 2.705 0.000
Tl 0.000 0.000 0.000
Li 2.871 -0.003 1.774
Pb -0.954 2.708 1.774
```

# LiTl4Pb

A relaxed LiTl4Pb crystal (PBE, Alexandria via LeMat-Bulk).

Values from the calculation:
ΔE to the lowest computed polymorph: 0.086 eV per atom
Space-group type: P4/mmm, No. 123
E: -2.47 eV/atom
Formation enthalpy at 0 K: 0.0433 eV/atom
Size of the total moment: 0.00 μB/cell
N(E_F): 2.457 states/eV/cell

Cell and atoms, written as extended XYZ:
```
6
Lattice="-4.919 0.535 0.127 -0.407 -2.768 -4.084 -0.567 -6.221 4.272" Properties=species:S:1:pos:R:3 pbc="T T T"
Tl -3.027 -4.205 -2.832
Tl -0.617 -5.860 1.049
Tl -3.280 -6.977 -0.930
Tl -0.364 -3.089 -0.854
Li -0.695 -5.858 -1.943
Pb -3.234 -7.318 2.296
```

# Li2TlPb

A relaxed Li2TlPb crystal (PBE, Alexandria via LeMat-Bulk).

Values from the calculation:
ΔE to the lowest computed polymorph: 0.128 eV per atom
Space-group type: F-43m, No. 216
E: -2.60 eV/atom
Formation enthalpy at 0 K: -0.1222 eV/atom
Size of the total moment: 0.00 μB/cell
N(E_F): 3.419 states/eV/cell

Cell and atoms, written as extended XYZ:
```
4
Lattice="-1.984 -0.832 4.695 -4.887 -1.594 0.492 -0.999 -4.820 1.564" Properties=species:S:1:pos:R:3 pbc="T T T"
Li -1.968 -1.812 1.688
Li 0.000 0.000 0.000
Pb -3.935 -3.623 3.375
Tl -5.903 -5.435 5.063
```

# LiTlPb

A relaxed LiTlPb crystal (PBE, Alexandria via LeMat-Bulk).

Values from the calculation:
Space-group type: Fmmm, No. 69
E: -2.81 eV/atom
Formation enthalpy at 0 K: -0.1451 eV/atom
Size of the total moment: 0.00 μB/cell
N(E_F): 2.774 states/eV/cell

Cell and atoms, written as extended XYZ:
```
6
Lattice="3.060 0.000 5.011 3.060 4.963 0.000 0.000 4.963 5.011" Properties=species:S:1:pos:R:3 pbc="T T T"
Pb 3.060 4.963 3.321
Pb 3.060 4.963 6.701
Li 1.530 2.481 2.506
Li 4.590 7.444 7.517
Tl 3.060 1.685 5.011
Tl 3.060 8.241 5.011
```

# LiTlPb2

A relaxed LiTlPb2 crystal (PBE, Alexandria via LeMat-Bulk).

Values from the calculation:
Space-group type: Imm2, No. 44
E: -3.01 eV/atom
Formation enthalpy at 0 K: -0.0871 eV/atom
Size of the total moment: 0.00 μB/cell
N(E_F): 1.656 states/eV/cell

Cell and atoms, written as extended XYZ:
```
4
Lattice="-5.773 -1.756 -1.812 -0.524 -2.465 -5.774 2.660 -0.559 5.684" Properties=species:S:1:pos:R:3 pbc="T T T"
Li -3.105 -2.196 0.069
Tl -3.302 -2.214 -3.979
Pb -0.527 -2.581 -1.967
Pb -6.148 -4.121 -7.407
```

# Li3Tl3Pb

A relaxed Li3Tl3Pb crystal (PBE, Alexandria via LeMat-Bulk).

Values from the calculation:
ΔE to the lowest computed polymorph: 0.401 eV per atom
Space-group type: Pm-3n, No. 223
E: -2.12 eV/atom
Formation enthalpy at 0 K: 0.2467 eV/atom
Size of the total moment: 0.00 μB/cell
N(E_F): 5.575 states/eV/cell

Cell and atoms, written as extended XYZ:
```
14
Lattice="-1.194 -2.903 6.692 -4.269 -5.220 -3.026 5.915 -4.354 -0.833" Properties=species:S:1:pos:R:3 pbc="T T T"
Tl 1.890 -3.482 -1.173
Tl -2.433 -3.336 0.160
Tl -3.030 -4.787 3.506
Tl -0.245 -6.092 -2.687
Tl 3.839 -4.717 2.721
Tl 0.881 -2.540 3.138
Li -0.656 -3.699 -1.722
Li 2.301 -5.876 -2.138
Li -1.665 -2.757 2.589
Li 2.659 -2.903 1.256
Li -3.799 -5.367 1.076
Li 2.061 -4.354 4.602
Pb 0.000 0.000 0.000
Pb 0.225 -6.239 1.416
```

# LiTl6Pb

A relaxed LiTl6Pb crystal (PBE, Alexandria via LeMat-Bulk).

Values from the calculation:
ΔE to the lowest computed polymorph: 0.000 eV per atom
Space-group type: Cmmm, No. 65
E: -2.50 eV/atom
Formation enthalpy at 0 K: -0.0244 eV/atom
Size of the total moment: 0.00 μB/cell
N(E_F): 4.754 states/eV/cell

Cell and atoms, written as extended XYZ:
```
8
Lattice="-3.155 2.213 2.215 -4.159 -5.879 -0.052 2.921 -2.085 6.243" Properties=species:S:1:pos:R:3 pbc="T T T"
Tl -2.444 -4.960 1.473
Tl -0.298 -1.918 1.492
Tl 1.206 -3.004 4.719
Tl -0.940 -6.045 4.700
Tl -3.657 -1.833 1.082
Tl -0.117 0.064 4.229
Li -1.578 1.106 1.107
Pb -2.196 -2.876 4.203
```

# Li4Tl3Pb2

A relaxed Li4Tl3Pb2 crystal (PBE, Alexandria via LeMat-Bulk).

Values from the calculation:
ΔE to the lowest computed polymorph: 0.070 eV per atom
Space-group type: Cmce, No. 64
E: -2.59 eV/atom
Formation enthalpy at 0 K: -0.1314 eV/atom
Size of the total moment: 0.00 μB/cell
N(E_F): 5.377 states/eV/cell

Cell and atoms, written as extended XYZ:
```
18
Lattice="6.403 0.000 0.000 0.000 7.822 0.000 -3.202 0.000 8.488" Properties=species:S:1:pos:R:3 pbc="T T T"
Li 0.000 3.688 5.728
Li 3.202 0.223 5.728
Li 3.202 4.134 2.761
Li 0.000 7.599 2.761
Li 1.601 5.867 7.371
Li 4.802 1.956 1.118
Li 1.601 1.956 1.118
Li -1.601 5.867 7.371
Tl 0.000 0.000 0.000
Tl 4.802 1.956 3.967
Tl 1.601 1.956 3.967
Tl -1.601 5.867 4.522
Tl 1.601 5.867 4.522
Tl 3.202 3.911 0.000
Pb 3.202 7.092 1.661
Pb 3.202 3.181 6.827
Pb 0.000 4.642 1.661
Pb 0.000 0.731 6.827
```